# CeHo4Tm8, relaxed, DFT PBE-GGA
data_CeHo4Tm8
_cell_length_a 7.1858
_cell_length_b 7.1858
_cell_length_c 26.4244
_cell_angle_alpha 90.00
_cell_angle_beta 90.00
_cell_angle_gamma 120.00
_space_group_name_H-M_alt 'R -3 m'
_space_group_IT_number 166
_space_group_name_Hall '-R 3 2"'
loop_
_atom_site_label
_atom_site_type_symbol
_atom_site_fract_x
_atom_site_fract_y
_atom_site_fract_z
Ce1 Ce 0.0000 0.0000 0.0000
Ho1 Ho 0.0000 0.0000 0.5000
Ho2 Ho 0.0000 0.5000 0.5000
Tm1 Tm 0.0000 0.0000 0.2798
Tm2 Tm 0.0329 0.5164 0.2704
# Energy ... -0.32581 Ry per atom
# ΔH_f (0 K) ... 183.9 meV/atom


# Ac2Sn3Ru2, relaxed, DFT PBE-GGA
data_Ac2Sn3Ru2
_cell_length_a 11.3154
_cell_length_b 4.3933
_cell_length_c 7.8906
_cell_angle_alpha 90.00
_cell_angle_beta 115.98
_cell_angle_gamma 90.00
_space_group_name_H-M_alt 'C 1 2/m 1'
_space_group_IT_number 12
loop_
_space_group_symop_operation_xyz
'x,y,z'
'-x,-y,-z'
'-x,y,-z'
'x,-y,z'
'x+1/2,y+1/2,z'
'-x+1/2,-y+1/2,-z'
'-x+1/2,y+1/2,-z'
'x+1/2,-y+1/2,z'
loop_
_atom_site_label
_atom_site_type_symbol
_atom_site_fract_x
_atom_site_fract_y
_atom_site_fract_z
Ac1 Ac 0.1433 0.0000 0.2807
Sn1 Sn 0.0000 0.5000 0.5000
Sn2 Sn 0.1399 0.5000 0.9424
Ru1 Ru 0.1345 0.0000 0.7074
# Energy ... -0.43777 Ry per atom
# ΔH_f (0 K) ... -416.6 meV/atom


# TiFeTe2, relaxed, DFT PBE-GGA
data_TiFeTe2
_cell_length_a 3.6566
_cell_length_b 3.6566
_cell_length_c 25.8648
_cell_angle_alpha 90.00
_cell_angle_beta 90.00
_cell_angle_gamma 120.00
_space_group_name_H-M_alt 'R -3 m'
_space_group_IT_number 166
_space_group_name_Hall '-R 3 2"'
loop_
_atom_site_label
_atom_site_type_symbol
_atom_site_fract_x
_atom_site_fract_y
_atom_site_fract_z
Ti1 Ti 0.0000 0.0000 0.0000
Fe1 Fe 0.0000 0.0000 0.5000
Te1 Te 0.0000 0.0000 0.4019
# ΔE_f (raw) ... 0.26 eV per formula unit
# Energy ... -0.41129 Ry per atom


# PuTiPt, relaxed, DFT PBE-GGA
data_PuTiPt
_cell_length_a 3.2054
_cell_length_b 3.2054
_cell_length_c 11.5072
_cell_angle_alpha 90.00
_cell_angle_beta 90.00
_cell_angle_gamma 90.00
_space_group_name_H-M_alt 'I 4 m m'
_space_group_IT_number 107
_space_group_name_Hall 'I 4 -2'
loop_
_atom_site_label
_atom_site_type_symbol
_atom_site_fract_x
_atom_site_fract_y
_atom_site_fract_z
Pu1 Pu 0.0000 0.0000 0.0000
Ti1 Ti 0.0000 0.0000 0.6932
Pt1 Pt 0.0000 0.0000 0.3090
# Energy ... -0.72434 Ry per atom
# ΔH_f (0 K) ... -432.5 meV/atom
# Energy relative to the lowest polymorph listed for this composition ... 0.0 kJ/mol of atoms


# OsAuS, relaxed, DFT PBE-GGA
data_OsAuS
_cell_length_a 2.9046
_cell_length_b 2.9046
_cell_length_c 5.9536
_cell_angle_alpha 90.00
_cell_angle_beta 90.00
_cell_angle_gamma 90.00
_space_group_name_H-M_alt 'P 4 m m'
_space_group_IT_number 99
loop_
_space_group_symop_operation_xyz
'x,y,z'
'-y,x,z'
'-x,-y,z'
'y,-x,z'
'-x,y,z'
'y,x,z'
'x,-y,z'
'-y,-x,z'
loop_
_atom_site_label
_atom_site_type_symbol
_atom_site_fract_x
_atom_site_fract_y
_atom_site_fract_z
Os1 Os 0.0000 0.0000 0.0000
Au1 Au 0.5000 0.5000 0.3588
S1 S 0.5000 0.5000 0.7983
# ΔE_f (raw) ... 0.74 eV per formula unit
# Energy ... -0.43852 Ry per atom
# Energy relative to the lowest polymorph listed for this composition ... 8.1 kJ/mol of atoms


# Sm3ScAg2, relaxed, DFT PBE-GGA
data_Sm3ScAg2
_cell_length_a 3.6702
_cell_length_b 3.6702
_cell_length_c 11.9405
_cell_angle_alpha 90.00
_cell_angle_beta 90.00
_cell_angle_gamma 90.00
_space_group_name_H-M_alt 'P 4/m m m'
_space_group_IT_number 123
_space_group_name_Hall '-P 4 2'
loop_
_atom_site_label
_atom_site_type_symbol
_atom_site_fract_x
_atom_site_fract_y
_atom_site_fract_z
Sm1 Sm 0.0000 0.0000 0.0000
Sm2 Sm 0.0000 0.0000 0.3158
Sc1 Sc 0.5000 0.5000 0.5000
Ag1 Ag 0.5000 0.5000 0.1612
# Energy ... -0.33269 Ry per atom
# ΔH_f (0 K) ... -161.2 meV/atom